(1)
TmSbC after structural relaxation. Source: Alexandria, functional PBE-GGA.

```
TmSbC
1.0
-0.630 3.738 1.943
-1.221 -1.900 3.259
8.718 -1.076 0.227
Sb C Tm
2 2 2
Cartesian
2.645 1.809 2.046
4.222 -1.048 3.383
-1.018 1.469 2.887
-0.833 0.369 2.315
5.715 1.747 3.160
1.152 -0.986 2.269
```

Summary:
As for the uncorrected formation energy: -0.075 eV/atom.

---

(2)
CaCoRe2 after structural relaxation. Source: Alexandria, functional PBE-GGA.

```
CaCoRe2
1.0
-2.360 4.750 0.728
-4.141 1.511 -3.038
1.583 -4.224 2.883
Co Re Ca
1 2 1
Cartesian
-2.013 1.828 1.229
-3.250 3.130 -1.155
0.000 0.000 0.000
-2.904 0.209 -0.654
```

Summary:
The formation energy is 0.751 eV/atom.

---

(3)
SmErTh2Sb4 after structural relaxation. Source: Alexandria, functional PBE-GGA.

```
SmErTh2Sb4
1.0
4.471 0.000 0.000
0.000 7.691 -0.129
0.000 2.728 7.246
Th Er Sb Sm
2 1 4 1
Cartesian
0.000 2.728 7.246
2.235 1.364 3.623
0.000 5.210 3.559
2.235 6.402 1.761
0.000 7.766 5.328
2.235 4.017 5.356
4.471 2.653 1.789
2.235 3.846 -0.065
```

Summary:
As for the uncorrected formation energy: -1.023 eV/atom.

---

(4)
CaHoHgPb after structural relaxation. Source: Alexandria, functional PBE-GGA.

```
CaHoHgPb
1.0
5.392 0.000 0.000
2.696 4.669 0.000
2.696 1.556 4.402
Ca Hg Pb Ho
1 1 1 1
Cartesian
5.392 3.113 2.201
8.088 4.669 3.302
2.696 1.556 1.101
0.000 0.000 0.000
```

Summary:
The formation energy is -0.484 eV/atom.

---

(5)
BaZnCd after structural relaxation. Source: Alexandria, functional PBE-GGA.

```
BaZnCd
1.0
-3.359 3.005 -1.567
1.256 -0.946 -4.505
-4.559 -7.419 2.814
Cd Zn Ba
2 2 2
Cartesian
-3.494 -0.564 -0.856
-5.476 -2.821 -0.934
-5.787 -4.362 -3.224
-0.876 -0.998 -0.035
-1.052 1.029 -3.036
-2.178 -3.668 -2.364
```

Summary:
The formation energy is -0.248 eV/atom.

---

(6)
PmEuSi after structural relaxation. Source: Alexandria, functional PBE-GGA.

```
PmEuSi
1.0
-3.626 1.913 0.234
-1.034 -1.409 -4.514
-1.234 -2.799 3.751
Si Eu Pm
1 1 1
Cartesian
-2.278 -1.749 1.068
-3.365 -0.677 -1.613
-0.251 0.132 0.016
```

Summary:
As for the uncorrected formation energy: -0.244 eV/atom.

---

(7)
ZrZnIr after structural relaxation. Source: Alexandria, functional PBE-GGA.

```
ZrZnIr
1.0
-2.582 2.313 -2.705
1.038 0.359 -4.258
-2.418 -2.069 -3.034
Zr Zn Ir
1 1 1
Cartesian
-1.981 0.301 -4.999
0.000 0.000 0.000
-2.972 0.452 -7.498
```

Summary:
The formation energy is -0.406 eV/atom.

---

(8)
Pm5CdGe2 after structural relaxation. Source: Alexandria, functional PBE-GGA.

```
Pm5CdGe2
1.0
6.966 -0.005 -0.003
-0.005 6.966 -0.003
-3.483 -3.482 4.390
Ge Pm Cd
2 5 1
Cartesian
-0.003 3.482 1.947
3.482 -0.003 1.947
3.480 3.480 1.949
-1.741 -1.741 4.144
1.738 1.738 4.141
-1.744 1.740 4.143
1.740 -1.744 4.143
-0.001 -0.001 1.946
```

Summary:
The formation energy is -0.382 eV/atom.

---

Number 1: total magnetic moment 0.00 μB per formula unit. Number 2: total magnetic moment 0.00 μB per formula unit. Number 3: total magnetic moment 0.00 μB per formula unit. Number 4: total magnetic moment 0.00 μB per formula unit. Number 5: total magnetic moment 0.00 μB per formula unit. Number 6: total magnetic moment 7.30 μB per formula unit. Number 7: total magnetic moment 0.00 μB per formula unit. Number 8: total magnetic moment 0.00 μB per formula unit.